Entry 1:
! BeIrPt PBE-GGA relaxed; values from VASP
! Offset from the most stable computed form (meV per atom): 0.0
! Space group: No. 216
! Volume (A^3/atom): 13.63
&SYSTEM
  ibrav = 0, nat = 3, ntyp = 3
/
ATOMIC_SPECIES
Be 9.01 Be.upf
Ir 192.22 Ir.upf
Pt 195.08 Pt.upf
ATOMIC_POSITIONS angstrom
Be 0.000 0.000 0.000
Ir 4.102 4.102 4.102
Pt 1.367 1.367 1.367
CELL_PARAMETERS angstrom
0.000 2.734 2.734
2.734 0.000 2.734
2.734 2.734 0.000

---

Entry 2:
! Zr2Al2CuPd3 PBE-GGA relaxed; values from VASP
! E (eV/atom): -6.176
! Space group: No. 156
! Volume (A^3/atom): 17.01
&SYSTEM
  ibrav = 0, nat = 8, ntyp = 4
/
ATOMIC_SPECIES
Zr 91.22 Zr.upf
Al 26.98 Al.upf
Cu 63.55 Cu.upf
Pd 106.42 Pd.upf
ATOMIC_POSITIONS angstrom
Zr 0.000 0.000 0.000
Zr 0.000 2.490 4.243
Al 2.156 1.245 2.136
Al 2.156 1.245 6.346
Cu 0.000 0.000 5.630
Pd 0.000 0.000 2.905
Pd 0.000 2.490 1.412
Pd 0.000 2.490 7.019
CELL_PARAMETERS angstrom
4.313 0.000 0.000
-2.156 3.735 0.000
0.000 0.000 8.450